Below is an optimized crystal structure of Rb2TbAuO4, with properties calculated at the PBE level.

```
Rb2TbAuO4
1.0
-2.9739 -5.3414 1.1987
4.8850 -6.1638 0.8424
-0.7338 -0.4911 12.1803
Rb Tb Au O
4 2 2 8
direct
0.1928 0.0000 0.6144
0.8072 0.0000 0.3856
0.5572 0.5000 0.8856
0.9428 0.5000 0.1144
0.7500 0.5000 0.5000
0.0000 0.0000 0.0000
0.2500 0.5000 0.5000
0.5000 0.0000 0.0000
0.3591 0.8021 0.0082
0.1694 0.1979 0.9918
0.8388 0.8021 0.9918
0.6327 0.1979 0.0082
0.3909 0.6979 0.4918
0.5806 0.3021 0.5082
0.9112 0.6979 0.5082
0.1173 0.3021 0.4918
```

## Properties
M_tot (μB/cell): 0.0
E_tot (eV/atom): -5.05

Below is an optimized crystal structure of Mn4NiPt7, with properties calculated at the PBE level.

```
Mn4NiPt7
1.0
-3.7531 -1.3772 -3.6861
-4.9585 -3.2567 4.1381
-6.7460 2.0701 -2.0018
Mn Ni Pt
4 1 7
direct
0.4743 0.3256 0.6832
0.5257 0.6744 0.3168
0.7610 0.6710 0.8159
0.2390 0.3290 0.1841
0.0000 0.0000 0.0000
0.7412 0.0023 0.5051
0.2588 0.9977 0.4949
0.0196 0.6624 0.3208
0.9804 0.3376 0.6792
0.2530 0.6607 0.8283
0.5000 0.0000 0.0000
0.7470 0.3393 0.1717
```

## Properties
M_tot (μB/cell): 17.6
Calculated formation energy (eV per atom): -0.269

Below is an optimized crystal structure of In4Sn4Hg5, with properties calculated at the PBE level.

```
In4Sn4Hg5
1.0
4.0717 0.0000 1.0353
2.0359 9.3204 0.5176
-0.2608 0.0000 9.5506
In Sn Hg
4 4 5
direct
0.7842 0.2901 0.1415
0.2158 0.7099 0.8585
0.9257 0.8585 0.2901
0.0743 0.1415 0.7099
0.9055 0.5001 0.6889
0.5944 0.3111 0.5001
0.0945 0.4999 0.3111
0.4056 0.6889 0.4999
0.7180 0.9057 0.6584
0.2820 0.0943 0.3416
0.0000 0.0000 0.0000
0.6237 0.6584 0.0943
0.3763 0.3416 0.9057
```

## Properties
M_tot (μB/cell): 0.0
Calculated formation energy (eV per atom): 0.035

Below is an optimized crystal structure of SrMgIr, with properties calculated at the PBE level.

```
SrMgIr
1.0
6.2418 0.0000 0.0000
-3.1209 6.8875 0.0000
0.0000 0.0000 7.1773
Ir Mg Sr
4 4 4
direct
0.5935 0.1869 0.5262
0.9065 0.8131 0.0262
0.4065 0.8131 0.4738
0.0935 0.1869 0.9738
0.2766 0.0533 0.2500
0.2234 0.9467 0.7500
0.7234 0.9467 0.7500
0.7766 0.0533 0.2500
0.8109 0.6219 0.4128
0.6891 0.3781 0.9128
0.1891 0.3781 0.5872
0.3109 0.6219 0.0872
```

## Properties
M_tot (μB/cell): 0.0
Calculated formation energy (eV per atom): -0.193

Below is an optimized crystal structure of RbSr2Al2, with properties calculated at the PBE level.

```
RbSr2Al2
1.0
-4.6586 -0.9446 3.8521
-0.2717 -5.8523 -1.7636
1.0469 -4.7422 4.9621
Sr Al Rb
2 2 1
direct
0.7500 0.2500 0.5000
0.2500 0.7500 0.5000
0.3839 0.3839 0.2323
0.6161 0.6161 0.7677
0.0000 0.0000 0.0000
```

## Properties
M_tot (μB/cell): 0.0
Calculated formation energy (eV per atom): 0.106
Relative energy among the computed polymorphs (meV per atom): 49

Below is an optimized crystal structure of PmMgPtO4, with properties calculated at the PBE level.

```
PmMgPtO4
1.0
6.1404 0.0000 0.0000
-3.0702 5.8306 -0.5726
0.0000 -3.6562 6.0128
Pm Mg Pt O
2 2 2 8
direct
0.5000 0.0000 0.5000
0.5000 0.0000 0.0000
0.7967 0.5934 0.0467
0.2033 0.4066 0.9533
0.5000 0.5000 0.5000
0.0000 0.5000 0.5000
0.7564 0.5127 0.6901
0.1870 0.8130 0.1565
0.6260 0.8130 0.1565
0.7564 0.5127 0.3226
0.2436 0.4873 0.6774
0.8130 0.1870 0.8435
0.3740 0.1870 0.8435
0.2436 0.4873 0.3099
```

## Properties
M_tot (μB/cell): 1.9
E_tot (eV/atom): -6.52

Below is an optimized crystal structure of FeAuS2N, with properties calculated at the PBE level.

```
FeAuS2N
1.0
4.6985 0.0000 0.0000
0.0000 4.6985 0.0000
0.0000 0.0000 3.3866
S Au Fe N
2 1 1 1
direct
0.0000 0.5000 0.0000
0.5000 0.0000 0.0000
0.5000 0.5000 0.5000
0.0000 0.0000 0.0000
0.0000 0.0000 0.5000
```

## Properties
M_tot (μB/cell): 0.7
Relative energy among the computed polymorphs (meV per atom): 0

Below is an optimized crystal structure of YNiOs, with properties calculated at the PBE level.

```
YNiOs
1.0
4.3271 0.0000 0.0000
0.0000 9.7162 0.0000
0.0000 0.0000 5.0614
Y Ni Os
4 4 4
direct
0.0000 0.7060 0.2500
0.0000 0.2940 0.7500
0.5000 0.2060 0.2500
0.5000 0.7940 0.7500
0.0000 0.4286 0.2500
0.0000 0.5714 0.7500
0.5000 0.9286 0.2500
0.5000 0.0714 0.7500
0.0000 0.0000 0.0000
0.0000 0.0000 0.5000
0.5000 0.5000 0.0000
0.5000 0.5000 0.5000
```

## Properties
M_tot (μB/cell): 0.0
Calculated formation energy (eV per atom): -0.254
Relative energy among the computed polymorphs (meV per atom): 107

The highest M_tot belongs to which entry?
Mn4NiPt7

Among the records above, which one has the highest M_tot?
Mn4NiPt7

What did the fourth record say?
Below is an optimized crystal structure of SrMgIr, with properties calculated at the PBE level.

```
SrMgIr
1.0
6.2418 0.0000 0.0000
-3.1209 6.8875 0.0000
0.0000 0.0000 7.1773
Ir Mg Sr
4 4 4
direct
0.5935 0.1869 0.5262
0.9065 0.8131 0.0262
0.4065 0.8131 0.4738
0.0935 0.1869 0.9738
0.2766 0.0533 0.2500
0.2234 0.9467 0.7500
0.7234 0.9467 0.7500
0.7766 0.0533 0.2500
0.8109 0.6219 0.4128
0.6891 0.3781 0.9128
0.1891 0.3781 0.5872
0.3109 0.6219 0.0872
```

## Properties
M_tot (μB/cell): 0.0
Calculated formation energy (eV per atom): -0.193

M_tot of number 5 (RbSr2Al2)?
0.0 μB/cell